1.
Crystalline Pa3Co3Ge at its relaxed geometry. Source: Alexandria, functional PBE.

Summary:
Space group: No. 12
ΔE_f in eV/atom: -0.414

Unit cell a=5.6727 b=5.6727 c=13.0864 alpha=68.27 beta=68.27 gamma=40.57
Element x y z (fractional)
Pa 0.7394 0.7394 0.7800
Pa 0.5097 0.5097 0.6200
Pa 0.4903 0.4903 0.3800
Pa 0.6006 0.6006 0.0770
Pa 0.3994 0.3994 0.9230
Pa 0.2606 0.2606 0.2200
Co 0.9941 0.9941 0.2207
Co 0.8675 0.8675 0.5479
Co 0.1325 0.1325 0.4521
Co 0.0059 0.0059 0.7793
Co 0.8714 0.8714 0.0672
Co 0.1286 0.1286 0.9328
Ge 0.2282 0.2282 0.6069
Ge 0.7718 0.7718 0.3931

***

2.
Crystalline Ta2HIrOs at its relaxed geometry. Source: Alexandria, functional PBE.

Summary:
Space group: No. 123
Relative energy among the computed polymorphs in meV per atom: 0.0

Unit cell a=4.1688 b=4.1688 c=3.8322 alpha=90.00 beta=90.00 gamma=90.00
Element x y z (fractional)
Os 0.0000 0.0000 0.5000
Ir 0.5000 0.5000 0.5000
H 0.0000 0.0000 0.0000
Ta 0.5000 0.0000 0.0000
Ta 0.0000 0.5000 0.0000

***

3.
Crystalline LiEuAgBi at its relaxed geometry. Source: Alexandria, functional PBE.

Summary:
Space group: No. 216
ΔE_f in eV/atom: -0.448

Unit cell a=5.2512 b=5.2512 c=5.2512 alpha=60.00 beta=60.00 gamma=60.00
Element x y z (fractional)
Ag 0.0000 0.0000 0.0000
Eu 0.2500 0.2500 0.2500
Bi 0.5000 0.5000 0.5000
Li 0.7500 0.7500 0.7500

***

4.
Crystalline La2Y5Tm5 at its relaxed geometry. Source: Alexandria, functional PBE.

Summary:
Space group: No. 12
ΔE_f in eV/atom: 0.036

Unit cell a=5.0561 b=7.9883 c=10.6986 alpha=72.57 beta=76.33 gamma=71.55
Element x y z (fractional)
La 0.9168 0.4188 0.7476
La 0.0832 0.5812 0.2524
Y 0.6658 0.6685 0.9998
Y 0.4139 0.9214 0.2507
Y 0.5000 0.5000 0.5000
Y 0.5861 0.0786 0.7493
Y 0.3342 0.3315 0.0002
Tm 0.2478 0.7547 0.7497
Tm 0.8305 0.8385 0.5005
Tm 0.7522 0.2453 0.2503
Tm 0.1695 0.1615 0.4995
Tm 0.0000 0.0000 0.0000

***

For the records above, the corresponding final energy values read -0.3009; -0.3568; -0.1903; -0.1963 Ha/atom.